Record 1
Density functional theory data (PBE) for crystalline CsCuSnSe3 at its relaxed geometry.

a b c (Å): 8.310 8.310 10.922
angles (deg): 90.00 90.00 27.67
Sites, in units of the cell vectors:
Se (0.615, 0.615, 0.448)
Se (0.615, 0.615, 0.052)
Se (0.385, 0.385, 0.948)
Sn (0.000, 0.000, 0.500)
Se (0.385, 0.385, 0.552)
Cs (0.740, 0.740, 0.750)
Cu (0.543, 0.543, 0.250)
Se (0.049, 0.049, 0.750)
Cs (0.260, 0.260, 0.250)
Se (0.951, 0.951, 0.250)
Sn (0.000, 0.000, 0.000)
Cu (0.457, 0.457, 0.750)

Results
Excess energy over the best structure of this formula in the dataset, meV/atom: 43

=====

Record 2
Density functional theory data (PBE) for crystalline LuCuGePt at its relaxed geometry.

a b c (Å): 4.542 4.542 4.542
angles (deg): 60.00 60.00 60.00
Sites, in units of the cell vectors:
Pt (0.500, 0.500, 0.500)
Cu (0.750, 0.750, 0.750)
Lu (0.000, 0.000, 0.000)
Ge (0.250, 0.250, 0.250)

Results
Excess energy over the best structure of this formula in the dataset, meV/atom: 31

=====

Record 3
Density functional theory data (PBE) for crystalline HfTeAs at its relaxed geometry.

a b c (Å): 4.725 4.725 4.725
angles (deg): 60.00 60.00 60.00
Sites, in units of the cell vectors:
As (0.000, 0.000, 0.000)
Hf (0.250, 0.250, 0.250)
Te (0.750, 0.750, 0.750)

Results
DFT total energy, eV/atom: -5.7908

=====

Record 4
Density functional theory data (PBE) for crystalline ZnH2 at its relaxed geometry.

a b c (Å): 5.306 5.306 5.306
angles (deg): 60.00 60.00 60.00
Sites, in units of the cell vectors:
H (0.375, 0.875, 0.375)
Zn (0.500, 0.500, 0.500)
H (0.375, 0.375, 0.875)
Zn (0.250, 0.250, 0.250)
H (0.375, 0.375, 0.375)
H (0.875, 0.375, 0.375)

Results
DFT total energy, eV/atom: -2.5425

=====

Record 5
Density functional theory data (PBE) for crystalline Cu2Ag at its relaxed geometry.

a b c (Å): 7.000 7.000 7.797
angles (deg): 121.98 121.98 22.69
Sites, in units of the cell vectors:
Cu (0.553, 0.553, 0.844)
Ag (0.000, 0.000, 0.500)
Cu (0.898, 0.898, 0.839)
Cu (0.334, 0.334, 0.524)
Ag (0.774, 0.774, 0.178)
Ag (0.226, 0.226, 0.822)
Cu (0.447, 0.447, 0.156)
Cu (0.102, 0.102, 0.161)
Cu (0.666, 0.666, 0.476)

Results
DFT formation energy, eV/atom: 0.080
Excess energy over the best structure of this formula in the dataset, meV/atom: 35

=====

Record 6
Density functional theory data (PBE) for crystalline Ba2Pm2O5 at its relaxed geometry.

a b c (Å): 11.873 3.879 3.879
angles (deg): 90.00 90.00 90.00
Last column: magnetic moment on the atom in μB.
Sites, in units of the cell vectors:
Pm (0.000, 0.000, 0.000)  -0.01
Pm (0.500, 0.000, 0.000)  0.28
O (0.879, 0.500, 0.000)  0.21
Ba (0.242, 0.500, 0.500)  0.02
O (0.500, 0.500, 0.500)  -0.01
O (0.121, 0.000, 0.500)  0.24
Ba (0.758, 0.500, 0.500)  0.02
O (0.121, 0.500, 0.000)  0.21
O (0.879, 0.000, 0.500)  0.24

Results
Excess energy over the best structure of this formula in the dataset, meV/atom: 864